The following is a PBE calculation of Pm3Sm3Ho after structural relaxation, from Alexandria.

Summary:
E above lowest polymorph = 200 meV/atom
VASP energy = -188.5 eV/cell
ΔH_f (0 K) = 0.22 eV/atom
volume = 1464.4 Å³ per cell

```
data_Pm3Sm3Ho
_cell_length_a 8.7537
_cell_length_b 8.7537
_cell_length_c 22.0665
_cell_angle_alpha 90.00
_cell_angle_beta 90.00
_cell_angle_gamma 120.00
_space_group_name_H-M_alt 'R -3'
_space_group_IT_number 148
_space_group_name_Hall '-R 3'
loop_
_atom_site_label
_atom_site_type_symbol
_atom_site_fract_x
_atom_site_fract_y
_atom_site_fract_z
Pm1 Pm 0.0039 0.2385 0.0585
Sm1 Sm 0.0507 0.4488 0.8812
Ho1 Ho 0.0000 0.0000 0.3460
```